Here is an optimized crystal structure of Tc4Rh5 from Alexandria. Energies are from PBE.

Cell lengths 7.4968, 7.4968, 5.3958 Å; angles 90.00, 90.00, 120.00 degrees
Space group P6_3/mcm (No. 193)
Unique sites:
1 Tc 0.0000 0.0000 0.0000 x2
2 Tc 0.0000 0.3302 0.2500 x6
3 Rh 0.0000 0.3321 0.7500 x6
4 Rh 0.3333 0.6667 0.0000 x4

Summary:
energy relative to the elements: 113 meV per atom
excess energy over the best structure of this formula in the dataset: 182 meV/atom
VASP energy: -154.4 eV per cell

---

Here is an optimized crystal structure of TlHg2Br2 from Alexandria. Energies are from PBE.

Cell lengths 4.1465, 4.1465, 18.5163 Å; angles 90.00, 90.00, 90.00 degrees
Space group I4/mmm (No. 139)
Unique sites:
1 Tl 0.0000 0.0000 0.0000 x2
2 Hg 0.0000 0.5000 0.2500 x4
3 Br 0.0000 0.0000 0.3983 x4

Summary:
excess energy over the best structure of this formula in the dataset: 0 meV/atom
VASP energy: -16.4 eV per cell

---

Here is an optimized crystal structure of AcPr4Nd2 from Alexandria. Energies are from PBE.

Cell lengths 12.3966, 6.7002, 6.4355 Å; angles 90.00, 98.37, 90.00 degrees
Space group C2/m (No. 12)
Unique sites:
1 Ac 0.0000 0.0000 0.0000 x2
2 Pr 0.1630 0.0000 0.5071 x4
3 Pr 0.2500 0.2500 0.0000 x4
4 Nd 0.0409 0.5000 0.2673 x4

Summary:
energy relative to the elements: 198 meV per atom
excess energy over the best structure of this formula in the dataset: 178 meV/atom
VASP energy: -62.8 eV per cell

---

Here is an optimized crystal structure of VSn from Alexandria. Energies are from PBE.

Cell lengths 3.2735, 8.5975, 5.3706 Å; angles 90.00, 90.00, 90.00 degrees
Space group Imm2 (No. 44)
Unique sites:
1 V 0.0000 0.0000 0.0000 x2
2 V 0.0000 0.5000 0.1399 x2
3 Sn 0.0000 0.2745 0.7287 x4

Summary:
energy relative to the elements: 182 meV per atom
VASP energy: -51.0 eV per cell